#w
Computed, not measured: a relaxed Be3CuSn crystal at the PBE level of DFT.

Unit cell a=4.1759 b=4.1759 c=4.1759 alpha=90.00 beta=90.00 gamma=90.00
Positions (direct):
Be: 0.0000 0.0000 0.5000
Be: 0.0000 0.5000 0.0000
Be: 0.5000 0.0000 0.0000
Cu: 0.0000 0.0000 0.0000
Sn: 0.5000 0.5000 0.5000

=====

#x
Computed, not measured: a relaxed Be3CuSn crystal at the PBE level of DFT.

Unit cell a=4.5512 b=4.5512 c=4.5512 alpha=90.00 beta=90.00 gamma=90.00
Positions (direct):
Be: 0.0000 0.0000 0.5000
Be: 0.0000 0.5000 0.0000
Be: 0.5000 0.0000 0.0000
Cu: 0.5000 0.5000 0.5000
Sn: 0.0000 0.0000 0.0000

=====

Most stable to least stable: #w, #x

=====

#w
Computed, not measured: a relaxed SrBeCu crystal at the PBE level of DFT.

Unit cell a=4.6339 b=4.6339 c=4.6339 alpha=60.00 beta=60.00 gamma=60.00
Positions (direct):
Sr: 0.0000 0.0000 0.0000
Be: 0.2500 0.2500 0.2500
Cu: 0.5000 0.5000 0.5000

=====

#x
Computed, not measured: a relaxed SrBeCu crystal at the PBE level of DFT.

Unit cell a=4.6666 b=4.6666 c=4.6666 alpha=60.00 beta=60.00 gamma=60.00
Positions (direct):
Sr: 0.0000 0.0000 0.0000
Be: 0.5000 0.5000 0.5000
Cu: 0.7500 0.7500 0.7500

=====

#y
Computed, not measured: a relaxed SrBeCu crystal at the PBE level of DFT.

Unit cell a=5.9601 b=5.9601 c=5.9601 alpha=148.72 beta=148.72 gamma=44.83
Positions (direct):
Sr: 0.0000 0.0000 0.0000
Be: 0.7163 0.7163 0.0000
Cu: 0.2825 0.2825 0.0000

=====

Most stable to least stable: #y, #x, #w

=====

#w
Computed, not measured: a relaxed SrBeCu crystal at the PBE level of DFT.

Unit cell a=4.9322 b=4.9322 c=4.9322 alpha=60.00 beta=60.00 gamma=60.00
Positions (direct):
Sr: 0.0000 0.0000 0.0000
Be: 0.2500 0.2500 0.2500
Cu: 0.7500 0.7500 0.7500

=====

#x
Computed, not measured: a relaxed SrBeCu crystal at the PBE level of DFT.

Unit cell a=4.0391 b=4.0391 c=4.6009 alpha=90.00 beta=90.00 gamma=120.00
Positions (direct):
Sr: 0.0000 0.0000 0.0000
Be: 0.6667 0.3333 0.5000
Cu: 0.3333 0.6667 0.5000

=====

Most stable to least stable: #x, #w

=====

#w
Computed, not measured: a relaxed Sr2BeCu2 crystal at the PBE level of DFT.

Unit cell a=7.3309 b=7.3309 c=4.4442 alpha=90.00 beta=90.00 gamma=90.00
Positions (direct):
Sr: 0.1832 0.3168 0.0000
Sr: 0.3168 0.8168 0.0000
Sr: 0.6832 0.1832 0.0000
Sr: 0.8168 0.6832 0.0000
Be: 0.0000 0.0000 0.5000
Be: 0.5000 0.5000 0.5000
Cu: 0.1208 0.6208 0.5000
Cu: 0.3792 0.1208 0.5000
Cu: 0.6208 0.8792 0.5000
Cu: 0.8792 0.3792 0.5000

=====

#x
Computed, not measured: a relaxed Sr2BeCu2 crystal at the PBE level of DFT.

Unit cell a=9.5075 b=9.5075 c=9.5075 alpha=158.15 beta=158.15 gamma=31.09
Positions (direct):
Sr: 0.1055 0.1055 0.0000
Sr: 0.8945 0.8945 0.0000
Be: 0.5000 0.5000 0.0000
Cu: 0.2500 0.7500 0.5000
Cu: 0.7500 0.2500 0.5000

=====

Most stable to least stable: #w, #x